MgTiBeCl2 | GGA-PBE | relaxed

Cell lengths 4.532, 4.532, 7.593 Å; angles 90.00, 90.00, 90.00 degrees
Atoms (fractional coordinates):
1 Mg 0.000 0.000 0.000
2 Ti 0.000 0.000 0.500
3 Be 0.500 0.500 0.500
4 Cl 0.000 0.500 0.000
5 Cl 0.500 0.000 0.000

Values from the calculation:
Total DFT energy (no corrections)   -3.0521 eV per atom